Record 1
A relaxed CrTcB2Pd crystal. Source: the Alexandria database, functional PBE-GGA.

Properties
formation enthalpy at 0 K = 32.09 kcal/mol of atoms
V = 13.8 Å³/atom
VASP energy = -6.316 eV/atom
spin magnetization = 3.1 Bohr magnetons per cell

abc: 3.9031 4.5343 3.9031
angles: 90.00 90.00 90.00
Last column: nearest neighbours and their distance in Å.
Sites, in units of the cell vectors:
B 0.0000 0.0000 0.5000  2 Cr 1.95
Cr 0.0000 0.0000 0.0000  4 B 1.95
Pd 0.0000 0.5000 0.0000  2 Cr 2.27
B 0.5000 0.0000 0.0000  2 Cr 1.95
Tc 0.5000 0.5000 0.5000  4 Pd 2.76, 8 B 2.99

***

Record 2
A relaxed CrB2PdW crystal. Source: the Alexandria database, functional PBE-GGA.

Properties
formation enthalpy at 0 K = 33.98 kcal/mol of atoms
V = 16.0 Å³/atom
VASP energy = -6.751 eV/atom
spin magnetization = 2.3 Bohr magnetons per cell

abc: 4.1599 4.6193 4.1599
angles: 90.00 90.00 90.00
Last column: nearest neighbours and their distance in Å.
Sites, in units of the cell vectors:
Pd 0.5000 0.5000 0.5000  4 Cr 2.94, 8 B 3.11
Cr 0.0000 0.5000 0.0000  2 W 2.31
B 0.0000 0.0000 0.5000  2 W 2.08
W 0.0000 0.0000 0.0000  4 B 2.08, 2 Cr 2.31
B 0.5000 0.0000 0.0000  2 W 2.08

***

Record 3
A relaxed Pr2CrB10 crystal. Source: the Alexandria database, functional PBE-GGA.

Properties
formation enthalpy at 0 K = -9.97 kcal/mol of atoms
V = 10.7 Å³/atom
VASP energy = -7.045 eV/atom
spin magnetization = 5.2 Bohr magnetons per cell

abc: 4.2147 5.7539 11.4574
angles: 90.00 90.00 90.00
Last column: nearest neighbours and their distance in Å.
Sites, in units of the cell vectors:
Pr 0.5000 0.7023 0.1368  20 B 2.93-3.08, 2 Cr 3.14
Cr 0.0000 0.0000 0.0000  8 B 2.20-2.22
B 0.2990 0.7158 0.3833  4 B 1.69-1.79
Pr 0.5000 0.7977 0.6368  20 B 2.93-3.08, 2 Cr 3.14
B 0.0000 0.6424 0.8026  5 B 1.70-1.78
B 0.0000 0.3576 0.1974  5 B 1.70-1.78
B 0.0000 0.9491 0.8097  4 B 1.70-1.79
B 0.0000 0.3774 0.0421  4 B 1.71-1.78
B 0.7010 0.2842 0.6167  4 B 1.69-1.79
B 0.0000 0.5509 0.3097  4 B 1.70-1.79
B 0.0000 0.4491 0.6903  4 B 1.70-1.79
B 0.0000 0.6226 0.9579  4 B 1.71-1.78
B 0.7010 0.2158 0.1167  4 B 1.69-1.79
B 0.0000 0.0509 0.1903  4 B 1.70-1.79
B 0.7010 0.7158 0.3833  4 B 1.69-1.79
Cr 0.0000 0.5000 0.5000  8 B 2.20-2.22
B 0.2990 0.2158 0.1167  4 B 1.69-1.79
B 0.0000 0.8576 0.3026  5 B 1.70-1.78
B 0.0000 0.1424 0.6974  5 B 1.70-1.78
B 0.0000 0.8774 0.4579  4 B 1.71-1.78
B 0.0000 0.1226 0.5421  4 B 1.71-1.78
B 0.2990 0.2842 0.6167  4 B 1.69-1.79
B 0.2990 0.7842 0.8833  4 B 1.69-1.79
Pr 0.5000 0.2023 0.3632  20 B 2.93-3.08, 2 Cr 3.14
Pr 0.5000 0.2977 0.8632  20 B 2.93-3.08, 2 Cr 3.14
B 0.7010 0.7842 0.8833  4 B 1.69-1.79

***

Record 4
A relaxed PrCrB14 crystal. Source: the Alexandria database, functional PBE-GGA.

Properties
formation enthalpy at 0 K = -3.19 kcal/mol of atoms
V = 8.3 Å³/atom
VASP energy = -6.881 eV/atom
spin magnetization = 5.8 Bohr magnetons per cell

abc: 5.8693 7.4400 7.4400
angles: 67.88 66.77 66.77
Last column: nearest neighbours and their distance in Å.
Sites, in units of the cell vectors:
B 0.8285 0.9720 0.8741  6 B 1.72-1.87
Cr 0.5000 0.0000 0.5000  8 B 2.21-2.43
Cr 0.0000 0.0000 0.5000  8 B 2.21-2.43
B 0.4172 0.7516 0.4140  6 B 1.70-1.88
B 0.6260 0.0084 0.7396  3 B 1.70-1.72
B 0.3339 0.6360 0.6962  6 B 1.82-1.88
B 0.2792 0.4006 0.7205  6 B 1.82-1.88
B 0.6661 0.3640 0.3038  6 B 1.82-1.88
B 0.8254 0.3741 0.4720  6 B 1.72-1.87
B 0.5997 0.4006 0.7205  6 B 1.82-1.88
B 0.3285 0.3741 0.4720  6 B 1.72-1.87
B 0.9172 0.9140 0.2516  6 B 1.70-1.88
B 0.5828 0.2484 0.5860  6 B 1.70-1.88
B 0.0997 0.2205 0.9006  6 B 1.82-1.88
B 0.9003 0.7795 0.0994  6 B 1.82-1.88
B 0.2208 0.7795 0.0994  6 B 1.82-1.88
Pr 0.7500 0.6223 0.8777  6 B 2.56-2.80
B 0.3254 0.9720 0.8741  6 B 1.72-1.87
B 0.1260 0.2396 0.5084  3 B 1.70-1.72
Pr 0.2500 0.3777 0.1223  6 B 2.56-2.80
B 0.7792 0.2205 0.9006  6 B 1.82-1.88
B 0.8740 0.7604 0.4916  3 B 1.70-1.72
B 0.1661 0.8038 0.8640  6 B 1.82-1.88
B 0.0828 0.0860 0.7484  6 B 1.70-1.88
B 0.1715 0.0280 0.1259  6 B 1.72-1.87
B 0.1746 0.6259 0.5280  6 B 1.72-1.87
B 0.6715 0.6259 0.5280  6 B 1.72-1.87
B 0.6746 0.0280 0.1259  6 B 1.72-1.87
B 0.4003 0.5994 0.2795  6 B 1.82-1.88
B 0.7208 0.5994 0.2795  6 B 1.82-1.88
B 0.3740 0.9916 0.2604  3 B 1.70-1.72
B 0.8339 0.1962 0.1360  6 B 1.82-1.88

***

Record 5
A relaxed CrB2Pt crystal. Source: the Alexandria database, functional PBE-GGA.

Properties
formation enthalpy at 0 K = 13.78 kcal/mol of atoms
V = 13.0 Å³/atom
VASP energy = -6.657 eV/atom
energy above the most stable polymorph in this dataset = 1.14 eV per formula unit
spin magnetization = 0.0 Bohr magnetons per cell

abc: 4.6232 4.6232 5.8549
angles: 66.75 66.75 90.00
Last column: nearest neighbours and their distance in Å.
Sites, in units of the cell vectors:
Pt 0.7500 0.2500 0.5000  4 B 2.04
Pt 0.0000 0.0000 0.0000  4 B 2.04
Cr 0.2500 0.7500 0.5000  4 B 2.03
B 0.6228 0.1250 0.2500  2 Cr 2.03, 2 Pt 2.04
B 0.1272 0.6250 0.2500  2 Cr 2.03, 2 Pt 2.04
B 0.3750 0.3772 0.7500  2 Cr 2.03, 2 Pt 2.04
B 0.8750 0.8728 0.7500  2 Cr 2.03, 2 Pt 2.04
Cr 0.5000 0.5000 0.0000  4 B 2.03

***

Record 6
A relaxed CrB3Pt crystal. Source: the Alexandria database, functional PBE-GGA.

Properties
formation enthalpy at 0 K = 30.10 kcal/mol of atoms
V = 11.5 Å³/atom
VASP energy = -5.834 eV/atom
energy above the most stable polymorph in this dataset = 0.00 eV per formula unit
spin magnetization = 1.3 Bohr magnetons per cell

abc: 3.8585 3.8585 3.8585
angles: 90.00 90.00 90.00
Last column: nearest neighbours and their distance in Å.
Sites, in units of the cell vectors:
B 0.5000 0.0000 0.0000  2 Cr 1.93
B 0.0000 0.5000 0.0000  2 Cr 1.93
B 0.0000 0.0000 0.5000  2 Cr 1.93
Cr 0.0000 0.0000 0.0000  6 B 1.93
Pt 0.5000 0.5000 0.5000  12 B 2.73

***

Record 7
A relaxed CrB3Pt crystal. Source: the Alexandria database, functional PBE-GGA.

Properties
formation enthalpy at 0 K = 38.31 kcal/mol of atoms
V = 13.2 Å³/atom
VASP energy = -5.478 eV/atom
energy above the most stable polymorph in this dataset = 1.78 eV per formula unit
spin magnetization = 0.1 Bohr magnetons per cell

abc: 4.0397 4.0397 4.0397
angles: 90.00 90.00 90.00
Last column: nearest neighbours and their distance in Å.
Sites, in units of the cell vectors:
B 0.5000 0.0000 0.0000  2 Pt 2.02
B 0.0000 0.0000 0.5000  2 Pt 2.02
B 0.0000 0.5000 0.0000  2 Pt 2.02
Pt 0.0000 0.0000 0.0000  6 B 2.02
Cr 0.5000 0.5000 0.5000  12 B 2.86

***

Record 8
A relaxed CrBPt crystal. Source: the Alexandria database, functional PBE-GGA.

Properties
formation enthalpy at 0 K = -8.06 kcal/mol of atoms
V = 11.0 Å³/atom
VASP energy = -7.797 eV/atom
spin magnetization = 0.0 Bohr magnetons per cell

abc: 2.8528 3.1098 7.5794
angles: 78.16 90.00 90.00
Last column: nearest neighbours and their distance in Å.
Sites, in units of the cell vectors:
Pt 0.7500 0.3146 0.3709  1 B 2.26
B 0.7500 0.4667 0.0665  2 B 1.73
Pt 0.2500 0.6854 0.6291  1 B 2.26
B 0.2500 0.5333 0.9335  2 B 1.73
Cr 0.7500 0.0719 0.8562  6 B 2.19-2.20
Cr 0.2500 0.9281 0.1438  6 B 2.19-2.20

***

Record 9
A relaxed Cr2BPt crystal. Source: the Alexandria database, functional PBE-GGA.

Properties
formation enthalpy at 0 K = 10.87 kcal/mol of atoms
V = 12.1 Å³/atom
VASP energy = -7.520 eV/atom
spin magnetization = 0.0 Bohr magnetons per cell

abc: 3.3729 3.3729 8.8385
angles: 79.00 79.00 90.00
Last column: nearest neighbours and their distance in Å.
Sites, in units of the cell vectors:
Cr 0.1834 0.6250 0.2500  2 Cr 2.12, 2 B 2.38
Pt 0.0000 0.0000 0.0000  4 B 2.38, 4 Cr 2.51
Pt 0.7500 0.2500 0.5000  4 B 2.38, 4 Cr 2.51
Cr 0.8750 0.8166 0.7500  2 Cr 2.12, 2 B 2.38
B 0.2500 0.7500 0.5000  4 Cr 2.38, 4 Pt 2.38
Cr 0.3750 0.4334 0.7500  2 Cr 2.12, 2 B 2.38
B 0.5000 0.5000 0.0000  4 Cr 2.38, 4 Pt 2.38
Cr 0.5666 0.1250 0.2500  2 Cr 2.12, 2 B 2.38

***

Record 10
A relaxed CrBPt2 crystal. Source: the Alexandria database, functional PBE-GGA.

Properties
formation enthalpy at 0 K = 3.24 kcal/mol of atoms
V = 13.5 Å³/atom
VASP energy = -6.955 eV/atom
spin magnetization = 0.0 Bohr magnetons per cell

abc: 6.7540 6.7540 5.3328
angles: 50.71 50.71 90.00
Last column: nearest neighbours and their distance in Å.
Sites, in units of the cell vectors:
Pt 0.3750 0.4706 0.7500  2 B 2.07
Cr 0.7500 0.2500 0.5000  2 B 2.37
Cr 0.0000 0.0000 0.0000  2 B 2.37
B 0.2500 0.7500 0.5000  4 Pt 2.07
B 0.5000 0.5000 0.0000  4 Pt 2.07
Pt 0.8750 0.7794 0.7500  2 B 2.07
Pt 0.2206 0.6250 0.2500  2 B 2.07
Pt 0.5294 0.1250 0.2500  2 B 2.07

***

Record 11
A relaxed CrB2Pt crystal. Source: the Alexandria database, functional PBE-GGA.

Properties
formation enthalpy at 0 K = 7.22 kcal/mol of atoms
V = 9.8 Å³/atom
VASP energy = -6.942 eV/atom
energy above the most stable polymorph in this dataset = 0.00 eV per formula unit
spin magnetization = 1.4 Bohr magnetons per cell

abc: 3.8161 3.8161 3.8161
angles: 60.00 60.00 60.00
Last column: nearest neighbours and their distance in Å.
Sites, in units of the cell vectors:
Cr 0.0000 0.0000 0.0000  8 B 2.34
B 0.7500 0.7500 0.7500  4 Pt 2.34, 4 Cr 2.34
B 0.2500 0.2500 0.2500  4 Cr 2.34, 4 Pt 2.34
Pt 0.5000 0.5000 0.5000  8 B 2.34

***

Record 12
A relaxed Cr2B2Pt crystal. Source: the Alexandria database, functional PBE-GGA.

Properties
formation enthalpy at 0 K = -6.71 kcal/mol of atoms
V = 10.0 Å³/atom
VASP energy = -8.019 eV/atom
spin magnetization = 0.0 Bohr magnetons per cell

abc: 5.4998 5.4998 3.3108
angles: 90.00 90.00 90.00
Last column: nearest neighbours and their distance in Å.
Sites, in units of the cell vectors:
B 0.1117 0.3883 0.0000  1 B 1.74
B 0.8883 0.6117 0.0000  1 B 1.74
Pt 0.5000 0.5000 0.0000  4 B 2.22
Cr 0.8373 0.3373 0.5000  6 B 2.26-2.41
B 0.6117 0.1117 0.0000  1 B 1.74
Cr 0.3373 0.1627 0.5000  6 B 2.26-2.41
B 0.3883 0.8883 0.0000  1 B 1.74
Cr 0.1627 0.6627 0.5000  6 B 2.26-2.41
Cr 0.6627 0.8373 0.5000  6 B 2.26-2.41
Pt 0.0000 0.0000 0.0000  4 B 2.22

***

Question: Which of these has the lowest V?
Answer: PrCrB14